Material: Nb2CuSiH
Method: DFT, GGA-PBE
State: optimized geometry

Values from the calculation:
As for the symmetry: No. 123. The calculation puts the theoretical density at 4.978 g cm⁻³. The calculation puts the total magnetic moment at 0.0 Bohr magnetons per cell. For the energy, the calculation gives -5.13 eV/atom.

Structure (POSCAR):
```
Nb2CuSiH
1.0
4.7695 0.0000 0.0000
0.0000 4.0833 0.0000
0.0000 0.0000 4.7695
H Cu Si Nb
1 1 1 2
Cartesian
2.3847 2.0416 2.3847
0.0000 0.0000 0.0000
0.0000 2.0416 0.0000
0.0000 0.0000 2.3847
2.3847 0.0000 0.0000
```